[1]
## RbCa2Sn2 (PBE-GGA)

Data for an optimized crystal structure of RbCa2Sn2.

Results
polymorph energy (0 for the lowest one) = 0.000 eV per atom

Lattice parameters (Å, degrees): 9.7736 9.7736 3.4480 90.00 90.00 90.00
Last column: nearest neighbours and their distance in Å.
Fractional positions:
Rb 0.0000 0.0000 0.0000  2 Rb 3.45, 4 Ca 3.86
Rb 0.5000 0.5000 0.0000  2 Rb 3.45, 4 Ca 3.86
Ca 0.1258 0.3743 0.0000  6 Sn 3.30-3.40, 3 Ca 3.45-3.48
Ca 0.3743 0.8742 0.0000  6 Sn 3.30-3.40, 3 Ca 3.45-3.48
Ca 0.6258 0.1258 0.0000  6 Sn 3.30-3.40, 3 Ca 3.45-3.48
Ca 0.8742 0.6258 0.0000  6 Sn 3.30-3.40, 3 Ca 3.45-3.48
Sn 0.1705 0.6705 0.5000  6 Ca 3.30-3.40, 2 Sn 3.45
Sn 0.3295 0.1705 0.5000  6 Ca 3.30-3.40, 2 Sn 3.45
Sn 0.6705 0.8295 0.5000  6 Ca 3.30-3.40, 2 Sn 3.45
Sn 0.8295 0.3295 0.5000  6 Ca 3.30-3.40, 2 Sn 3.45

=====

[2]
## RbCaSn (PBE-GGA)

Data for an optimized crystal structure of RbCaSn.

Lattice parameters (Å, degrees): 5.4237 5.4237 8.9966 90.00 90.00 90.00
Last column: nearest neighbours and their distance in Å.
Fractional positions:
Rb 0.2500 0.2500 0.1340  5 Sn 3.89-4.11, 4 Ca 4.27
Rb 0.7500 0.7500 0.8660  5 Sn 3.89-4.11, 4 Ca 4.27
Ca 0.2500 0.7500 0.5000  4 Sn 3.26
Ca 0.7500 0.2500 0.5000  4 Sn 3.26
Sn 0.2500 0.2500 0.7013  4 Ca 3.26
Sn 0.7500 0.7500 0.2987  4 Ca 3.26

=====

[3]
## Rb2Ca2Sn (PBE-GGA)

Data for an optimized crystal structure of Rb2Ca2Sn.

Results
polymorph energy (0 for the lowest one) = 0.000 eV per atom

Lattice parameters (Å, degrees): 8.4259 8.4259 7.1093 90.00 90.00 90.00
Last column: nearest neighbours and their distance in Å.
Fractional positions:
Rb 0.1845 0.3155 0.0000  2 Ca 3.98, 5 Rb 4.36-4.40
Rb 0.3155 0.8155 0.0000  2 Ca 3.98, 5 Rb 4.36-4.40
Rb 0.6845 0.1845 0.0000  2 Ca 3.98, 5 Rb 4.36-4.40
Rb 0.8155 0.6845 0.0000  2 Ca 3.98, 5 Rb 4.36-4.40
Ca 0.1653 0.6653 0.5000  2 Sn 3.15
Ca 0.3347 0.1653 0.5000  2 Sn 3.15
Ca 0.6653 0.8347 0.5000  2 Sn 3.15
Ca 0.8347 0.3347 0.5000  2 Sn 3.15
Sn 0.0000 0.0000 0.5000  4 Ca 3.15
Sn 0.5000 0.5000 0.5000  4 Ca 3.15

=====

[4]
## Rb2CaSn2 (PBE-GGA)

Data for an optimized crystal structure of Rb2CaSn2.

Lattice parameters (Å, degrees): 8.5214 8.5214 6.0304 90.00 90.00 90.00
Last column: nearest neighbours and their distance in Å.
Fractional positions:
Rb 0.1761 0.3239 0.0000  6 Sn 3.92-3.95, 1 Rb 4.24, 4 Ca 4.35
Rb 0.3239 0.8239 0.0000  6 Sn 3.92-3.95, 1 Rb 4.24, 4 Ca 4.35
Rb 0.6761 0.1761 0.0000  6 Sn 3.92-3.95, 1 Rb 4.24, 4 Ca 4.35
Rb 0.8239 0.6761 0.0000  6 Sn 3.92-3.95, 1 Rb 4.24, 4 Ca 4.35
Ca 0.0000 0.0000 0.5000  4 Sn 3.42
Ca 0.5000 0.5000 0.5000  4 Sn 3.42
Sn 0.1165 0.6165 0.5000  1 Sn 2.81
Sn 0.3835 0.1165 0.5000  1 Sn 2.81
Sn 0.6165 0.8835 0.5000  1 Sn 2.81
Sn 0.8835 0.3835 0.5000  1 Sn 2.81

=====

| no. | ρ (Mg/m³) | E_form (eV per atom) | total magnetic moment (Bohr magnetons per cell) |
| --- | --- | --- | --- |
| 1 | 4.06 | -0.45 | 0.00 |
| 2 | 3.07 | -0.27 | 2.06 |
| 3 | 2.43 | -0.06 | 0.00 |
| 4 | 3.40 | -0.12 | 0.00 |